(1)
The following is a DFT calculation (PBEsol) of a geometry-optimized TlAg3 structure.

Lattice parameters (Å, degrees): 3.4478 3.4592 6.2708 90.00 90.00 90.00
Space group Pmmm (No. 47)
One atom of each set of equivalent atoms:
Tl: 0.0000 0.0000 0.0000 (multiplicity 1)
Ag: 0.0000 0.0000 0.5000 (multiplicity 1)
Ag: 0.5000 0.5000 0.2730 (multiplicity 2)

Calculated values
**Fermi-level density of states**: 1.35 states/eV/f.u.
**Uncorrected energy**: -3.05 eV/atom

---

(2)
The following is a DFT calculation (PBEsol) of a geometry-optimized Rb2Be2H structure.

Lattice parameters (Å, degrees): 6.6479 6.6479 5.9729 90.00 90.00 90.00
Space group I4/mmm (No. 139)
One atom of each set of equivalent atoms:
Rb: 0.0000 0.5000 0.2500 (multiplicity 4)
Be: 0.0000 0.0000 0.1775 (multiplicity 4)
H: 0.0000 0.0000 0.5000 (multiplicity 2)

Calculated values
**Fermi-level density of states**: 3.38 states/eV/f.u.
**Uncorrected energy**: -1.67 eV/atom

---

(3)
The following is a DFT calculation (PBEsol) of a geometry-optimized Cd3CoNi structure.

Lattice parameters (Å, degrees): 4.7409 4.7409 4.7409 90.00 90.00 90.00
Space group Pm-3m (No. 221)
One atom of each set of equivalent atoms:
Cd: 0.0000 0.0000 0.5000 (multiplicity 3)
Co: 0.5000 0.5000 0.5000 (multiplicity 1)
Ni: 0.0000 0.0000 0.0000 (multiplicity 1)

Calculated values
**Fermi-level density of states**: 6.66 states/eV/f.u.
**Uncorrected energy**: -2.60 eV/atom

---

(4)
The following is a DFT calculation (PBEsol) of a geometry-optimized Ru2PbW structure.

Lattice parameters (Å, degrees): 3.0137 3.0229 7.5053 90.00 97.47 90.00
Space group P2/m (No. 10)
One atom of each set of equivalent atoms:
Ru: 0.0828 0.0000 0.2057 (multiplicity 2)
Pb: 0.5000 0.5000 0.5000 (multiplicity 1)
W: 0.5000 0.5000 0.0000 (multiplicity 1)

Calculated values
**Fermi-level density of states**: 2.58 states/eV/f.u.
**Uncorrected energy**: -9.23 eV/atom

---

(5)
The following is a DFT calculation (PBEsol) of a geometry-optimized KMnF3 structure.

Lattice parameters (Å, degrees): 5.8796 8.3275 5.9005 90.00 90.21 90.00
Space group P2_1/m (No. 11)
One atom of each set of equivalent atoms:
K: 0.0133 0.2500 0.4971 (multiplicity 2)
K: 0.4857 0.7500 0.9990 (multiplicity 2)
Mn: 0.0000 0.0000 0.0000 (multiplicity 2)
Mn: 0.5000 0.0000 0.5000 (multiplicity 2)
F: 0.0136 0.7500 0.0426 (multiplicity 2)
F: 0.2274 0.5176 0.7275 (multiplicity 4)
F: 0.2723 0.0268 0.2278 (multiplicity 4)
F: 0.4949 0.7500 0.4566 (multiplicity 2)

Calculated values
**Raw formation energy**: -2.51 eV/atom

---

(6)
The following is a DFT calculation (PBEsol) of a geometry-optimized Nd3BiRu4O14 structure.

Lattice parameters (Å, degrees): 7.2897 7.2897 17.7001 90.00 90.00 120.00
Space group R-3m (No. 166, hexagonal axes)
One atom of each set of equivalent atoms:
Nd: 0.0000 0.5000 0.0000 (multiplicity 9)
Bi: 0.0000 0.0000 0.5000 (multiplicity 3)
Ru: 0.0000 0.0000 0.0000 (multiplicity 3)
Ru: 0.0000 0.5000 0.5000 (multiplicity 9)
O: 0.0000 0.0000 0.3747 (multiplicity 6)
O: 0.0601 0.5300 0.6099 (multiplicity 18)
O: 0.0617 0.5309 0.8568 (multiplicity 18)

Calculated values
**Fermi-level density of states**: 13.02 states/eV/f.u.
**Raw formation energy**: -1.88 eV/atom